# PBE-GGA ZnPb2Cl, optimized geometry
# VASP energy	-2.8207	eV/atom
# E above lowest polymorph	22	meV/atom
# formation energy (no corrections)	-18	kJ/mol of atoms
data_ZnPb2Cl
_chemical_formula_sum 'Zn1 Pb2 Cl1'
_cell_length_a 5.766
_cell_length_b 3.569
_cell_length_c 5.736
_cell_angle_alpha 71.42
_cell_angle_beta 90.00
_cell_angle_gamma 90.00
_symmetry_space_group_name_H-M 'P 1'
_symmetry_Int_Tables_number 1
loop_
_symmetry_equiv_pos_as_xyz
'x,y,z'
loop_
_atom_site_label
_atom_site_type_symbol
_atom_site_fract_x
_atom_site_fract_y
_atom_site_fract_z
Pb1 Pb 0.500 0.237 0.144
Pb2 Pb 0.000 0.774 0.087
Cl1 Cl 0.500 0.968 0.651
Zn1 Zn 0.000 0.521 0.618

# PBE-GGA ZnPbCl, optimized geometry
# VASP energy	-2.2364	eV/atom
# E above lowest polymorph	394	meV/atom
# formation energy (no corrections)	4	kJ/mol of atoms
data_ZnPbCl
_chemical_formula_sum 'Zn1 Pb1 Cl1'
_cell_length_a 4.956
_cell_length_b 4.956
_cell_length_c 4.956
_cell_angle_alpha 60.00
_cell_angle_beta 60.00
_cell_angle_gamma 60.00
_symmetry_space_group_name_H-M 'P 1'
_symmetry_Int_Tables_number 1
loop_
_symmetry_equiv_pos_as_xyz
'x,y,z'
loop_
_atom_site_label
_atom_site_type_symbol
_atom_site_fract_x
_atom_site_fract_y
_atom_site_fract_z
Cl1 Cl 0.000 0.000 0.000
Zn1 Zn 0.750 0.750 0.750
Pb1 Pb 0.500 0.500 0.500

# PBE-GGA Zn2PbCl, optimized geometry
# VASP energy	-1.9080	eV/atom
# E above lowest polymorph	327	meV/atom
# formation energy (no corrections)	11	kJ/mol of atoms
data_Zn2PbCl
_chemical_formula_sum 'Zn2 Pb1 Cl1'
_cell_length_a 5.104
_cell_length_b 5.104
_cell_length_c 5.104
_cell_angle_alpha 60.00
_cell_angle_beta 60.00
_cell_angle_gamma 60.00
_symmetry_space_group_name_H-M 'P 1'
_symmetry_Int_Tables_number 1
loop_
_symmetry_equiv_pos_as_xyz
'x,y,z'
loop_
_atom_site_label
_atom_site_type_symbol
_atom_site_fract_x
_atom_site_fract_y
_atom_site_fract_z
Zn1 Zn 0.750 0.750 0.750
Pb1 Pb 0.500 0.500 0.500
Zn2 Zn 0.250 0.250 0.250
Cl1 Cl 0.000 0.000 0.000

# PBE-GGA ZnPb2Cl, optimized geometry
# VASP energy	-2.8430	eV/atom
# E above lowest polymorph	0	meV/atom
# formation energy (no corrections)	-20	kJ/mol of atoms
data_ZnPb2Cl
_chemical_formula_sum 'Zn1 Pb2 Cl1'
_cell_length_a 3.562
_cell_length_b 3.562
_cell_length_c 10.049
_cell_angle_alpha 90.00
_cell_angle_beta 90.00
_cell_angle_gamma 120.16
_symmetry_space_group_name_H-M 'P 1'
_symmetry_Int_Tables_number 1
loop_
_symmetry_equiv_pos_as_xyz
'x,y,z'
loop_
_atom_site_label
_atom_site_type_symbol
_atom_site_fract_x
_atom_site_fract_y
_atom_site_fract_z
Pb1 Pb 0.500 0.500 0.290
Cl1 Cl 0.500 0.500 0.684
Pb2 Pb 0.000 0.000 0.004
Zn1 Zn 0.000 0.000 0.522